Entry 1:
## BaIn2Bi2 (meta-GGA SCAN)

Data for a PBEsol-optimized structure of BaIn2Bi2.

a = 4.8463 Å, b = 4.8463 Å, c = 14.8229 Å
α = 90.00°, β = 90.00°, γ = 90.00°
With the nearest neighbours (Å) after each atom.
Space group I4/mmm (No. 139)
Unique sites:
Ba 0.0000 0.0000 0.0000 x2  8 Bi 3.77
In 0.0000 0.5000 0.2500 x4  4 Bi 3.23, 4 In 3.43
Bi 0.0000 0.0000 0.3939 x4  1 Bi 3.15, 4 In 3.23

Its formation energy is -0.386 eV/atom. Its crystal system is tetragonal. The calculation puts the spin magnetization at 0.0 μB/f.u. The calculation puts the raw total energy at -53.083 eV per atom.

---

Entry 2:
## Ba5In4Bi5 (meta-GGA SCAN)

Data for a PBEsol-optimized structure of Ba5In4Bi5.

a = 10.5985 Å, b = 10.5985 Å, c = 8.8915 Å
α = 90.00°, β = 90.00°, γ = 90.00°
With the nearest neighbours (Å) after each atom.
Space group P4nc (No. 104)
Unique sites:
Ba 0.0000 0.0000 0.0000 x2  5 Bi 3.43-3.48, 4 In 3.61
Ba 0.1062 0.3103 0.6758 x8  5 Bi 3.52-3.66, 3 In 3.68-3.84
In 0.0718 0.8157 0.3312 x8  1 Bi 2.91, 2 In 2.96
Bi 0.0000 0.0000 0.6144 x2  4 In 3.28, 5 Ba 3.43-3.52
Bi 0.1093 0.6904 0.9953 x8  1 In 2.91

Its formation energy is -0.776 eV/atom. Its crystal system is tetragonal. The calculation puts the spin magnetization at 0.0 μB/f.u. The calculation puts the raw total energy at -52.504 eV per atom.

---

Which of these has the highest raw total energy? Ba5In4Bi5

---

Number 1 is which compound? BaIn2Bi2

---

Which formula does entry 2 have? Ba5In4Bi5

---

Which value of raw total energy does entry 1 give? -53.083 eV per atom